The following is a DFT calculation (PBE) of crystalline La3Dy7Tm at its relaxed geometry.

## Properties
magnetic moment: 0.000 μB/f.u.
energy of formation from the pure elements: 171 meV per atom
total DFT energy (no corrections): -4.51 eV/atom
space-group type: No. 156

Cell: 8.7695 7.0946 7.0946 Å, 120.00 90.00 90.00°
Last column: nearest neighbours and their distance in Å.
Sites, in units of the cell vectors:
La 0.7828 0.4998 0.5002  4 La 3.54-3.55, 5 Dy 3.61-3.63, 1 Tm 3.62
La 0.7828 0.4998 0.9997  4 La 3.54-3.55, 5 Dy 3.61-3.63, 1 Tm 3.62
La 0.7828 0.0003 0.5002  4 La 3.54-3.55, 5 Dy 3.61-3.63, 1 Tm 3.62
Dy 0.1237 0.1674 0.8326  1 Tm 3.46, 8 Dy 3.48-3.56, 2 La 3.62
Dy 0.1237 0.1674 0.3348  1 Tm 3.46, 8 Dy 3.48-3.56, 2 La 3.62
Dy 0.1241 0.6667 0.3333  9 Dy 3.46-3.55, 3 La 3.63
Dy 0.4433 0.8327 0.1673  7 Dy 3.46-3.56, 2 Tm 3.55, 2 La 3.61
Dy 0.4433 0.3346 0.1673  7 Dy 3.46-3.56, 2 Tm 3.55, 2 La 3.61
Dy 0.4433 0.8327 0.6654  7 Dy 3.46-3.56, 2 Tm 3.55, 2 La 3.61
Dy 0.1237 0.6652 0.8326  1 Tm 3.46, 8 Dy 3.48-3.56, 2 La 3.62
Tm 0.4418 0.3333 0.6667  9 Dy 3.46-3.55, 3 La 3.62